# Zr2ScTc

Zr2ScTc after structural relaxation (GGA-PBE, the Alexandria database).

Its formation energy is -20 kJ/mol of atoms. The theoretical density comes out at 6501 kg/m3. The uncorrected energy is -8.6531 eV/atom. The calculation puts the energy above the most stable polymorph in this dataset at 0 meV per atom. Its crystal system is orthorhombic. Its spin magnetization is 0.00 μB/atom.

The structure belongs to space group Immm (No. 71); the cell edges are 3.404, 4.997 and 9.773 Å and the angles 90.00°, 90.00° and 90.00°. The asymmetric unit holds Zr at (0.000, 0.000, 0.211), Sc at (0.000, 0.500, 0.000) and Tc at (0.000, 0.500, 0.500).